Computed, not measured: a relaxed structure of CdIn7Hg2 at the GGA-PBE level of DFT.

Output
Magnetization, μB per atom: 0.00
Total energy, eV per atom: -2.048
Symmetry: No. 15
ΔE_f, eV per atom: 0.021
DOS at the Fermi energy, states/eV per cell: 6.5

a b c (Å): 6.7249 8.5790 10.7672
angles (deg): 69.82 71.80 66.92
With the nearest neighbours (Å) after each atom.
Fractional coordinates of all 20 atoms:
Cd: 0.1262 0.2500 0.7500  2 Hg 3.25, 10 In 3.26-3.41
Cd: 0.8738 0.7500 0.2500  2 Hg 3.25, 10 In 3.26-3.41
In: 0.6801 0.5490 0.8499  7 In 3.25-3.47, 1 Cd 3.26, 4 Hg 3.26-3.45
In: 0.9210 0.0490 0.3499  7 In 3.25-3.47, 1 Cd 3.26, 4 Hg 3.26-3.45
In: 0.2247 0.8509 0.9504  8 In 3.26-3.41, 2 Cd 3.29-3.41, 2 Hg 3.30-3.36
In: 0.4725 0.3399 0.4567  3 Hg 3.25-3.41, 8 In 3.25-3.47, 1 Cd 3.34
In: 0.6248 0.2500 0.7500  2 Hg 3.24, 8 In 3.28-3.41, 2 Cd 3.35-3.37
In: 0.9739 0.3509 0.4504  8 In 3.26-3.41, 2 Cd 3.29-3.41, 2 Hg 3.30-3.36
In: 0.2691 0.1601 0.0433  3 Hg 3.25-3.41, 8 In 3.25-3.47, 1 Cd 3.34
In: 0.7309 0.8399 0.9567  3 Hg 3.25-3.41, 8 In 3.25-3.47, 1 Cd 3.34
In: 0.0261 0.6491 0.5496  8 In 3.26-3.41, 2 Cd 3.29-3.41, 2 Hg 3.30-3.36
In: 0.3752 0.7500 0.2500  2 Hg 3.24, 8 In 3.28-3.41, 2 Cd 3.35-3.37
In: 0.5275 0.6601 0.5433  3 Hg 3.25-3.41, 8 In 3.25-3.47, 1 Cd 3.34
In: 0.7753 0.1491 0.0496  8 In 3.26-3.41, 2 Cd 3.29-3.41, 2 Hg 3.30-3.36
In: 0.0790 0.9510 0.6501  7 In 3.25-3.47, 1 Cd 3.26, 4 Hg 3.26-3.45
In: 0.3199 0.4510 0.1501  7 In 3.25-3.47, 1 Cd 3.26, 4 Hg 3.26-3.45
Hg: 0.5740 0.9482 0.6573  10 In 3.24-3.45, 1 Cd 3.25, 1 Hg 3.55
Hg: 0.8204 0.4482 0.1573  10 In 3.24-3.45, 1 Cd 3.25, 1 Hg 3.55
Hg: 0.1796 0.5518 0.8427  10 In 3.24-3.45, 1 Cd 3.25, 1 Hg 3.55
Hg: 0.4260 0.0518 0.3427  10 In 3.24-3.45, 1 Cd 3.25, 1 Hg 3.55

=====

Computed, not measured: a relaxed structure of CdIn2Hg at the GGA-PBE level of DFT.

Output
Relative energy among the computed polymorphs, eV/atom: 0.0363
Magnetization, μB per atom: 0.00
Total energy, eV per atom: -1.631
Symmetry: No. 12
ΔE_f, eV per atom: 0.042
DOS at the Fermi energy, states/eV per cell: 1.8

a b c (Å): 5.8014 6.0654 4.5236
angles (deg): 47.90 73.56 65.03
With the nearest neighbours (Å) after each atom.
Fractional coordinates of all 4 atoms:
Cd: 0.5000 0.5000 0.5000  4 Hg 3.03-3.36, 4 In 3.13
In: 0.0000 0.0000 0.0000  4 In 3.03-3.36, 2 Hg 3.13, 2 Cd 3.13
In: 0.0000 0.5000 0.0000  4 In 3.03-3.36, 2 Cd 3.13, 2 Hg 3.13
Hg: 0.5000 0.0000 0.5000  4 Cd 3.03-3.36, 4 In 3.13

=====

Computed, not measured: a relaxed structure of Cd8InHg4 at the GGA-PBE level of DFT.

Output
Relative energy among the computed polymorphs, eV/atom: 0.0000
Magnetization, μB per atom: 0.00
Total energy, eV per atom: -0.818
Symmetry: No. 166
ΔE_f, eV per atom: 0.049
DOS at the Fermi energy, states/eV per cell: 5.5

a b c (Å): 9.8899 9.8895 6.9993
angles (deg): 90.00 134.95 120.00
With the nearest neighbours (Å) after each atom.
Fractional coordinates of all 13 atoms:
Cd: 0.5208 0.7604 0.2813  4 Hg 2.91-3.07, 1 In 3.16
Cd: 0.4792 0.2396 0.7187  4 Hg 2.91-3.07, 1 In 3.16
Cd: 0.4804 0.2402 0.2412  4 Hg 2.91-3.07, 1 In 3.15
Cd: 0.9990 0.2392 0.7588  4 Hg 2.91-3.07, 1 In 3.15
Cd: 0.5196 0.7598 0.7588  4 Hg 2.91-3.07, 1 In 3.15
Cd: 0.9990 0.7598 0.7588  4 Hg 2.91-3.07, 1 In 3.15
Cd: 0.0010 0.2402 0.2412  4 Hg 2.91-3.07, 1 In 3.15
Cd: 0.0010 0.7608 0.2412  4 Hg 2.91-3.07, 1 In 3.15
In: 0.0000 0.5000 0.5000  8 Cd 3.15-3.16, 6 Hg 3.50
Hg: 0.0000 0.0000 0.0000  8 Cd 2.91
Hg: 0.0000 0.5000 0.0000  8 Cd 3.07
Hg: 0.5000 0.5000 0.0000  8 Cd 3.07
Hg: 0.5000 0.0000 0.0000  8 Cd 3.07

=====

Computed, not measured: a relaxed structure of Cd7InHg3 at the GGA-PBE level of DFT.

Output
Relative energy among the computed polymorphs, eV/atom: 0.0150
Magnetization, μB per atom: 0.00
Total energy, eV per atom: -0.830
Symmetry: No. 63
ΔE_f, eV per atom: 0.084
DOS at the Fermi energy, states/eV per cell: 8.3

a b c (Å): 3.0956 19.4832 10.1922
angles (deg): 90.00 90.00 94.56
With the nearest neighbours (Å) after each atom.
Fractional coordinates of all 22 atoms:
Cd: 0.4696 0.9392 0.7500  6 Cd 3.10-3.21, 4 Hg 3.34
Cd: 0.5304 0.0608 0.2500  6 Cd 3.10-3.21, 4 Hg 3.34
Cd: 0.4663 0.9327 0.4356  5 Cd 2.93-3.21, 2 In 3.14
Cd: 0.5337 0.0673 0.5644  5 Cd 2.93-3.21, 2 In 3.14
Cd: 0.5337 0.0673 0.9356  5 Cd 2.93-3.21, 2 In 3.14
Cd: 0.4663 0.9327 0.0644  5 Cd 2.93-3.21, 2 In 3.14
Cd: 0.3559 0.7118 0.4116  3 Cd 2.83-3.10, 2 Hg 3.11
Cd: 0.6441 0.2882 0.5884  3 Cd 2.83-3.10, 2 Hg 3.11
Cd: 0.2854 0.5707 0.4831  5 Cd 2.83-3.17, 3 Hg 3.03-3.17
Cd: 0.7146 0.4293 0.5169  5 Cd 2.83-3.17, 3 Hg 3.03-3.17
Cd: 0.7146 0.4293 0.9831  5 Cd 2.83-3.17, 3 Hg 3.03-3.17
Cd: 0.2854 0.5707 0.0169  5 Cd 2.83-3.17, 3 Hg 3.03-3.17
Cd: 0.3559 0.7118 0.0884  3 Cd 2.83-3.10, 2 Hg 3.11
Cd: 0.6441 0.2882 0.9116  3 Cd 2.83-3.10, 2 Hg 3.11
In: 0.9155 0.8310 0.2500  2 In 3.10, 8 Cd 3.14-3.23
In: 0.0845 0.1690 0.7500  2 In 3.10, 8 Cd 3.14-3.23
Hg: 0.0959 0.1918 0.3987  3 Hg 3.03-3.10, 6 Cd 3.11-3.34
Hg: 0.9041 0.8082 0.6013  3 Hg 3.03-3.10, 6 Cd 3.11-3.34
Hg: 0.2510 0.5019 0.7500  6 Cd 3.03-3.17, 2 Hg 3.10
Hg: 0.7490 0.4981 0.2500  6 Cd 3.03-3.17, 2 Hg 3.10
Hg: 0.0959 0.1918 0.1013  3 Hg 3.03-3.10, 6 Cd 3.11-3.34
Hg: 0.9041 0.8082 0.8987  3 Hg 3.03-3.10, 6 Cd 3.11-3.34

=====

Computed, not measured: a relaxed structure of CdIn4Hg at the GGA-PBE level of DFT.

Output
Relative energy among the computed polymorphs, eV/atom: 0.0000
Magnetization, μB per atom: 0.00
Total energy, eV per atom: -2.009
Symmetry: No. 12
ΔE_f, eV per atom: 0.020
DOS at the Fermi energy, states/eV per cell: 1.8

a b c (Å): 4.6564 5.6877 6.9083
angles (deg): 108.29 90.00 114.16
With the nearest neighbours (Å) after each atom.
Fractional coordinates of all 6 atoms:
Cd: 0.0000 0.0000 0.0000  10 In 3.23-3.35, 2 Hg 3.45
In: 0.3313 0.6625 0.1674  7 In 3.22-3.46, 3 Cd 3.23-3.35, 2 Hg 3.32
In: 0.6687 0.3375 0.8326  7 In 3.22-3.46, 3 Cd 3.23-3.35, 2 Hg 3.32
In: 0.3380 0.6759 0.6698  7 In 3.22-3.46, 2 Cd 3.29, 3 Hg 3.29-3.31
In: 0.6620 0.3241 0.3302  7 In 3.22-3.46, 2 Cd 3.29, 3 Hg 3.29-3.31
Hg: 0.0000 0.0000 0.5000  10 In 3.29-3.32, 2 Cd 3.45

=====

Computed, not measured: a relaxed structure of Cd3In5Hg at the GGA-PBE level of DFT.

Output
Magnetization, μB per atom: 0.00
Total energy, eV per atom: -1.748
Symmetry: No. 12
ΔE_f, eV per atom: 0.112
DOS at the Fermi energy, states/eV per cell: 5.9

a b c (Å): 8.9601 8.9601 10.8263
angles (deg): 51.26 51.26 65.26
With the nearest neighbours (Å) after each atom.
Fractional coordinates of all 18 atoms:
Cd: 0.7178 0.7178 0.7996  1 Cd 2.85, 3 In 3.01-3.12, 1 Hg 3.07
Cd: 0.6836 0.6836 0.3610  4 In 2.94-3.08, 1 Hg 2.98, 1 Cd 3.22
Cd: 0.0000 0.0000 0.0000  4 In 2.79-3.00, 2 Hg 3.11
Cd: 0.0000 0.0000 0.5000  2 Cd 2.85, 2 Hg 3.02, 4 In 3.13
Cd: 0.2822 0.2822 0.2004  1 Cd 2.85, 3 In 3.01-3.12, 1 Hg 3.07
Cd: 0.3164 0.3164 0.6390  4 In 2.94-3.08, 1 Hg 2.98, 1 Cd 3.22
In: 0.8385 0.3741 0.2615  3 Cd 3.07-3.40, 3 In 3.14-3.22
In: 0.2886 0.7114 0.0000  3 Cd 2.79-3.01
In: 0.8209 0.8209 0.9645  3 Cd 3.00-3.12, 4 In 3.15-3.22, 1 Hg 3.27
In: 0.4663 0.4663 0.2510  3 Cd 2.94-3.27, 4 In 3.12-3.14, 1 Hg 3.27
In: 0.5337 0.5337 0.7490  3 Cd 2.94-3.27, 4 In 3.12-3.14, 1 Hg 3.27
In: 0.1791 0.1791 0.0355  3 Cd 3.00-3.12, 4 In 3.15-3.22, 1 Hg 3.27
In: 0.3741 0.8385 0.2615  3 Cd 3.07-3.40, 3 In 3.14-3.22
In: 0.7114 0.2886 0.0000  3 Cd 2.79-3.01
In: 0.1615 0.6259 0.7385  3 Cd 3.07-3.40, 3 In 3.14-3.22
In: 0.6259 0.1615 0.7385  3 Cd 3.07-3.40, 3 In 3.14-3.22
Hg: 0.1424 0.1424 0.5974  4 Cd 2.98-3.11, 2 In 3.27
Hg: 0.8576 0.8576 0.4026  4 Cd 2.98-3.11, 2 In 3.27